16
Lattice="-0.278 -4.429 -4.062 -4.122 -3.597 4.204 -6.787 3.657 -3.524" Properties=species:S:1:pos:R:3 comment="LaGa2Au, optimized geometry, DFT PBE-GGA" spacegroup=Pnma pbc="T T T"
Au -7.172 -2.170 -0.395
Au -3.715 -2.980 2.300
Au -7.471 -1.389 -5.682
Au -4.014 -2.199 -2.986
Ga -9.414 -0.917 0.672
Ga -3.369 -4.845 -2.425
Ga -6.099 -3.994 1.289
Ga -4.502 -2.601 -0.340
Ga -7.817 0.476 -0.957
Ga -6.684 -1.768 -3.042
Ga -5.087 -0.375 -4.671
Ga -1.772 -3.452 -4.054
La -1.411 -2.383 -0.591
La -4.738 0.498 -1.389
La -9.775 -1.986 -2.791
La -6.448 -4.867 -1.993

***

6
Lattice="-4.028 -0.316 0.775 -0.407 -2.783 -3.248 3.763 -4.959 6.619" Properties=species:S:1:pos:R:3 comment="La2GaAu3, optimized geometry, DFT PBE-GGA" spacegroup=Imm2 e_above_lowest_polymorph_ev_per_atom=0.073 pbc="T T T"
La -0.860 -5.014 4.405
La 0.381 -1.603 1.326
Au -1.601 -4.143 0.909
Au 0.746 -5.387 1.681
Au -2.102 -2.037 -0.833
Ga 1.219 -7.379 3.329

***

12
Lattice="-3.206 -1.226 -2.670 -1.636 -5.233 4.367 -3.649 5.606 5.350" Properties=species:S:1:pos:R:3 comment="LaGaAu4, optimized geometry, DFT PBE-GGA" spacegroup=Cmcm e_above_lowest_polymorph_ev_per_atom=0.000 pbc="T T T"
Au -2.421 -3.229 0.849
Au -6.520 2.364 3.203
Au -4.969 -3.866 4.201
Au -3.522 3.012 2.847
Au -1.972 -3.217 3.845
Au -4.178 0.913 4.598
Au -4.313 -1.767 2.449
Au -1.603 -0.613 -1.335
La -1.621 -0.156 2.018
La -6.871 -0.697 5.029
Ga -4.794 0.723 1.883
Ga -3.698 -1.576 5.164

***

12
Lattice="-0.332 -2.872 -5.314 -2.948 -5.299 3.048 -7.786 5.438 1.924" Properties=species:S:1:pos:R:3 comment="La4GaAu, optimized geometry, DFT PBE-GGA" spacegroup=P2_1/m e_above_lowest_polymorph_ev_per_atom=0.000 pbc="T T T"
La -3.576 -4.448 0.143
La -4.430 -0.742 -1.796
La -7.810 1.567 2.931
La -3.256 -4.300 -3.273
La -6.637 -1.991 1.454
La -7.490 1.715 -0.484
La -1.862 -1.794 -4.715
La -9.204 -0.939 4.373
Ga -9.421 -0.922 0.620
Ga -1.646 -1.811 -0.962
Au -6.210 -3.721 -1.141
Au -4.857 0.988 0.799

***

3
Lattice="3.542 0.000 0.000 0.000 3.542 0.000 -1.771 -1.771 5.546" Properties=species:S:1:pos:R:3 comment="LaGaAu, optimized geometry, DFT PBE-GGA" spacegroup=I4mm pbc="T T T"
Ga 1.771 1.771 1.562
Au 0.000 0.000 2.897
La 1.771 1.771 4.969

***

4
Lattice="0.000 3.503 3.503 3.503 0.000 3.503 3.503 3.503 0.000" Properties=species:S:1:pos:R:3 comment="LaGa2Au, optimized geometry, DFT PBE-GGA" spacegroup=Fm-3m pbc="T T T"
La 0.000 0.000 0.000
Ga 1.751 1.751 1.751
Ga 5.254 5.254 5.254
Au 3.503 3.503 3.503

***

10
Lattice="-0.091 -0.293 -6.248 -0.999 -6.119 0.302 -4.829 3.991 -0.117" Properties=species:S:1:pos:R:3 comment="LaGa3Au, optimized geometry, DFT PBE-GGA" spacegroup=Cmcm e_above_lowest_polymorph_ev_per_atom=0.006 pbc="T T T"
Au -2.603 -3.189 -1.378
Au -3.317 0.768 -4.685
Ga -0.988 -1.239 -1.493
Ga -4.932 -1.182 -4.570
Ga -2.140 -5.175 0.274
Ga -3.779 2.755 -6.337
Ga -2.186 -5.322 -2.850
Ga -3.733 2.901 -3.213
La -4.104 -0.091 -1.501
La -1.815 -2.330 -4.561

***

12
Lattice="-4.608 -1.880 1.267 1.599 -6.250 -3.461 5.003 -1.664 5.315" Properties=species:S:1:pos:R:3 comment="LaGaAu4, optimized geometry, DFT PBE-GGA" spacegroup=Cmcm e_above_lowest_polymorph_ev_per_atom=0.032 pbc="T T T"
Au 1.248 -1.498 2.316
Au 1.848 -3.844 1.017
Au 0.799 -3.125 -1.731
Au 2.559 -3.646 3.894
Au -0.566 -6.148 -0.773
Au 0.000 0.000 0.000
Au 0.145 -5.951 2.104
Au 0.745 -8.296 0.805
La 3.279 -6.695 1.990
La -1.286 -3.099 1.131
Ga 0.077 -4.415 4.136
Ga 1.916 -5.380 -1.015

***

| no. | spin magnetization (μB per cell) | total energy (eV/cell) | ΔH_f (0 K) (kJ/mol of atoms) |
| --- | --- | --- | --- |
| 1 | 0.0 | -66.7 | -58.2 |
| 2 | 0.0 | -27.2 | -72.6 |
| 3 | 0.0 | -48.2 | -48.6 |
| 4 | 0.0 | -57.1 | -41.0 |
| 5 | 0.0 | -12.9 | -53.3 |
| 6 | 0.0 | -16.2 | -45.8 |
| 7 | 0.0 | -41.1 | -62.8 |
| 8 | 0.0 | -47.8 | -45.5 |